No. 1
DFT (PBE) results for a relaxed structure of ZnHgP2.

## Properties
- magnetic moment (μB per atom) = 0.00
- energy (eV per atom) = -3.037
- excess energy over the best structure of this formula in the dataset (eV per atom) = 0.000
- formation energy from the elements (meV per atom) = 62

a = 10.8314 Å, b = 3.2691 Å, c = 5.0870 Å
α = 90.00°, β = 105.50°, γ = 90.00°
Atoms (fractional coordinates):
1 Zn 0.0000 0.0000 0.0000
2 Zn 0.5000 0.5000 0.0000
3 Hg 0.0000 0.5000 0.5000
4 Hg 0.5000 0.0000 0.5000
5 P 0.2303 0.0000 0.1296
6 P 0.2697 0.5000 0.8704
7 P 0.7303 0.5000 0.1296
8 P 0.7697 0.0000 0.8704

No. 2
DFT (PBE) results for a relaxed structure of Zn2HgP.

## Properties
- magnetic moment (μB per atom) = 0.00
- energy (eV per atom) = -1.800
- formation energy from the elements (meV per atom) = 265

a = 3.1544 Å, b = 3.1544 Å, c = 7.2451 Å
α = 90.00°, β = 90.00°, γ = 90.00°
Atoms (fractional coordinates):
1 Zn 0.0000 0.0000 0.2055
2 Zn 0.0000 0.0000 0.7945
3 Hg 0.5000 0.5000 0.5000
4 P 0.5000 0.5000 0.0000

No. 3
DFT (PBE) results for a relaxed structure of Zn2HgP.

## Properties
- magnetic moment (μB per atom) = 0.00
- energy (eV per atom) = -1.763
- formation energy from the elements (meV per atom) = 302

a = 2.8951 Å, b = 2.8951 Å, c = 8.9160 Å
α = 90.00°, β = 90.00°, γ = 90.00°
Atoms (fractional coordinates):
1 Zn 0.0000 0.0000 0.0000
2 Zn 0.5000 0.5000 0.2093
3 Hg 0.0000 0.0000 0.4839
4 P 0.5000 0.5000 0.8091

No. 4
DFT (PBE) results for a relaxed structure of ZnHgP2.

## Properties
- magnetic moment (μB per atom) = 0.00
- energy (eV per atom) = -2.818
- excess energy over the best structure of this formula in the dataset (eV per atom) = 0.220
- formation energy from the elements (meV per atom) = 281

a = 5.6797 Å, b = 5.6797 Å, c = 11.2539 Å
α = 90.00°, β = 90.00°, γ = 90.00°
Atoms (fractional coordinates):
1 Zn 0.0000 0.0000 0.0000
2 Zn 0.0000 0.5000 0.2500
3 Zn 0.5000 0.0000 0.7500
4 Zn 0.5000 0.5000 0.5000
5 Hg 0.0000 0.0000 0.5000
6 Hg 0.0000 0.5000 0.7500
7 Hg 0.5000 0.0000 0.2500
8 Hg 0.5000 0.5000 0.0000
9 P 0.2200 0.2500 0.1250
10 P 0.2500 0.7200 0.3750
11 P 0.2500 0.7800 0.8750
12 P 0.2800 0.2500 0.6250
13 P 0.7200 0.7500 0.6250
14 P 0.7500 0.2200 0.8750
15 P 0.7500 0.2800 0.3750
16 P 0.7800 0.7500 0.1250

No. 5
DFT (PBE) results for a relaxed structure of ZnHgP2.

## Properties
- magnetic moment (μB per atom) = 0.00
- energy (eV per atom) = -2.803
- excess energy over the best structure of this formula in the dataset (eV per atom) = 0.234
- formation energy from the elements (meV per atom) = 295

a = 3.1507 Å, b = 3.1507 Å, c = 7.4644 Å
α = 90.00°, β = 90.00°, γ = 90.00°
Atoms (fractional coordinates):
1 Zn 0.0000 0.0000 0.0000
2 Hg 0.5000 0.5000 0.2664
3 P 0.0000 0.0000 0.6212
4 P 0.5000 0.5000 0.7448

No. 6
DFT (PBE) results for a relaxed structure of Zn2HgP.

## Properties
- magnetic moment (μB per atom) = 0.00
- energy (eV per atom) = -1.789
- formation energy from the elements (meV per atom) = 276

a = 7.8513 Å, b = 6.5121 Å, c = 2.9357 Å
α = 90.00°, β = 103.31°, γ = 90.00°
Atoms (fractional coordinates):
1 Zn 0.2500 0.2500 0.0000
2 Zn 0.2500 0.7500 0.0000
3 Zn 0.7500 0.2500 0.0000
4 Zn 0.7500 0.7500 0.0000
5 Hg 0.0000 0.0000 0.5000
6 Hg 0.5000 0.5000 0.5000
7 P 0.0000 0.5000 0.5000
8 P 0.5000 0.0000 0.5000

No. 7
DFT (PBE) results for a relaxed structure of ZnHg2P.

## Properties
- magnetic moment (μB per atom) = 0.00
- energy (eV per atom) = -1.441
- excess energy over the best structure of this formula in the dataset (eV per atom) = 0.340
- formation energy from the elements (meV per atom) = 380

a = 3.9307 Å, b = 3.9307 Å, c = 5.4268 Å
α = 90.00°, β = 90.00°, γ = 90.00°
Atoms (fractional coordinates):
1 Zn 0.0000 0.0000 0.0000
2 Hg 0.5000 0.5000 0.2512
3 Hg 0.5000 0.5000 0.7488
4 P 0.0000 0.0000 0.5000

No. 8
DFT (PBE) results for a relaxed structure of ZnHgP2.

## Properties
- magnetic moment (μB per atom) = 0.00
- energy (eV per atom) = -2.743
- excess energy over the best structure of this formula in the dataset (eV per atom) = 0.295
- formation energy from the elements (meV per atom) = 356

a = 5.2722 Å, b = 5.2722 Å, c = 5.3764 Å
α = 90.00°, β = 90.00°, γ = 90.00°
Atoms (fractional coordinates):
1 Zn 0.0000 0.0000 0.0000
2 Zn 0.5000 0.5000 0.5000
3 Hg 0.0000 0.0000 0.5000
4 Hg 0.5000 0.5000 0.0000
5 P 0.0000 0.5000 0.0000
6 P 0.0000 0.5000 0.5000
7 P 0.5000 0.0000 0.0000
8 P 0.5000 0.0000 0.5000

No. 9
DFT (PBE) results for a relaxed structure of Zn2HgP.

## Properties
- magnetic moment (μB per atom) = 0.00
- energy (eV per atom) = -1.769
- formation energy from the elements (meV per atom) = 296

a = 3.7206 Å, b = 4.4827 Å, c = 9.0004 Å
α = 90.00°, β = 90.00°, γ = 90.00°
Atoms (fractional coordinates):
1 Zn 0.0000 0.0000 0.0000
2 Zn 0.0000 0.5000 0.2150
3 Zn 0.5000 0.0000 0.2150
4 Zn 0.5000 0.5000 0.0000
5 Hg 0.0000 0.0000 0.4906
6 Hg 0.5000 0.5000 0.4906
7 P 0.0000 0.5000 0.8119
8 P 0.5000 0.0000 0.8119

No. 10
DFT (PBE) results for a relaxed structure of ZnHgP.

## Properties
- magnetic moment (μB per atom) = 0.00
- energy (eV per atom) = -2.041
- excess energy over the best structure of this formula in the dataset (eV per atom) = 0.130
- formation energy from the elements (meV per atom) = 288

a = 6.3294 Å, b = 6.3294 Å, c = 6.3294 Å
α = 90.00°, β = 90.00°, γ = 90.00°
Atoms (fractional coordinates):
1 Zn 0.0000 0.0000 0.0000
2 Zn 0.0000 0.5000 0.5000
3 Zn 0.5000 0.0000 0.5000
4 Zn 0.5000 0.5000 0.0000
5 Hg 0.0000 0.0000 0.5000
6 Hg 0.0000 0.5000 0.0000
7 Hg 0.5000 0.0000 0.0000
8 Hg 0.5000 0.5000 0.5000
9 P 0.2500 0.2500 0.2500
10 P 0.2500 0.7500 0.7500
11 P 0.7500 0.2500 0.7500
12 P 0.7500 0.7500 0.2500

No. 11
DFT (PBE) results for a relaxed structure of ZnHg2P.

## Properties
- magnetic moment (μB per atom) = 0.00
- energy (eV per atom) = -1.402
- excess energy over the best structure of this formula in the dataset (eV per atom) = 0.379
- formation energy from the elements (meV per atom) = 420

a = 3.7708 Å, b = 5.3510 Å, c = 8.2849 Å
α = 90.00°, β = 90.00°, γ = 90.00°
Atoms (fractional coordinates):
1 Zn 0.0000 0.0000 0.0000
2 Zn 0.5000 0.5000 0.0000
3 Hg 0.0000 0.5000 0.2493
4 Hg 0.0000 0.5000 0.7507
5 Hg 0.5000 0.0000 0.2493
6 Hg 0.5000 0.0000 0.7507
7 P 0.0000 0.0000 0.5000
8 P 0.5000 0.5000 0.5000

No. 12
DFT (PBE) results for a relaxed structure of ZnHg2P.

## Properties
- magnetic moment (μB per atom) = 0.00
- energy (eV per atom) = -1.404
- excess energy over the best structure of this formula in the dataset (eV per atom) = 0.377
- formation energy from the elements (meV per atom) = 417

a = 4.0281 Å, b = 4.0281 Å, c = 5.1348 Å
α = 90.00°, β = 90.00°, γ = 90.00°
Atoms (fractional coordinates):
1 Zn 0.0000 0.0000 0.0000
2 Hg 0.0000 0.5000 0.5000
3 Hg 0.5000 0.0000 0.5000
4 P 0.5000 0.5000 0.0000

> Which of these has the highest energy?

number 11

> energy of number 10 (ZnHgP)?

-2.041 eV per atom

> Look up the magnetic moment of the fifth one.

0.00 μB per atom